Entry 1:
An optimized crystal structure of LiBrF4. Source: the Alexandria database, functional PBE-GGA.

a = 6.284 Å, b = 6.284 Å, c = 4.905 Å
α = 90.00°, β = 90.00°, γ = 90.00°
Sites, in units of the cell vectors:
Li  0.000  0.000  0.000
Li  0.500  0.500  0.500
Br  0.000  0.500  0.750
Br  0.500  0.000  0.250
F  0.106  0.788  0.755
F  0.212  0.106  0.245
F  0.288  0.394  0.745
F  0.394  0.712  0.255
F  0.606  0.288  0.255
F  0.712  0.606  0.745
F  0.788  0.894  0.245
F  0.894  0.212  0.755

Output
Its space group is I-4 (82).

=====

Entry 2:
An optimized crystal structure of Pr5SmSn3. Source: the Alexandria database, functional PBE-GGA.

a = 9.708 Å, b = 9.708 Å, c = 6.811 Å
α = 90.00°, β = 90.00°, γ = 120.00°
Sites, in units of the cell vectors:
Pr  0.000  0.333  0.250
Pr  0.000  0.667  0.750
Pr  0.333  0.000  0.250
Pr  0.333  0.333  0.750
Pr  0.333  0.667  0.000
Pr  0.333  0.667  0.500
Pr  0.667  0.000  0.750
Pr  0.667  0.333  0.000
Pr  0.667  0.333  0.500
Pr  0.667  0.667  0.250
Sm  0.000  0.000  0.000
Sm  0.000  0.000  0.500
Sn  0.000  0.332  0.750
Sn  0.000  0.668  0.250
Sn  0.332  0.000  0.750
Sn  0.332  0.332  0.250
Sn  0.668  0.000  0.250
Sn  0.668  0.668  0.750

Output
As for the formation energy: -569.5 meV per atom. Its space group is P6_3/mcm (193).

=====

Entry 3:
An optimized crystal structure of Rb5F4. Source: the Alexandria database, functional PBE-GGA.

a = 8.600 Å, b = 8.600 Å, c = 8.600 Å
α = 93.35°, β = 93.35°, γ = 152.04°
Sites, in units of the cell vectors:
Rb  0.000  0.000  0.000
Rb  0.226  0.606  0.832
Rb  0.394  0.226  0.620
Rb  0.606  0.774  0.380
Rb  0.774  0.394  0.168
F  0.135  0.818  0.953
F  0.182  0.135  0.317
F  0.818  0.865  0.683
F  0.865  0.182  0.047

Output
Its space group is I4/m (87).

=====

Entry 4:
An optimized crystal structure of LiNbF3. Source: the Alexandria database, functional PBE-GGA.

a = 4.345 Å, b = 4.345 Å, c = 4.345 Å
α = 90.00°, β = 90.00°, γ = 90.00°
Sites, in units of the cell vectors:
Li  0.000  0.000  0.000
Nb  0.500  0.500  0.500
F  0.000  0.500  0.500
F  0.500  0.000  0.500
F  0.500  0.500  0.000

Output
As for the excess energy over the best structure of this formula in the dataset: 0 meV per atom. Its space group is Pm-3m (221).

=====

Entry 5:
An optimized crystal structure of AcMgGePd6. Source: the Alexandria database, functional PBE-GGA.

a = 8.121 Å, b = 8.121 Å, c = 8.121 Å
α = 130.91°, β = 108.08°, γ = 92.00°
Sites, in units of the cell vectors:
Ac  0.430  0.180  0.250
Ac  0.570  0.820  0.750
Mg  0.000  0.000  0.500
Mg  0.000  0.500  0.000
Ge  0.000  0.500  0.500
Ge  0.500  0.500  0.000
Pd  0.118  0.340  0.204
Pd  0.118  0.914  0.778
Pd  0.177  0.927  0.250
Pd  0.305  0.555  0.750
Pd  0.364  0.086  0.704
Pd  0.364  0.660  0.278
Pd  0.636  0.340  0.722
Pd  0.636  0.914  0.296
Pd  0.695  0.445  0.250
Pd  0.823  0.073  0.750
Pd  0.882  0.086  0.222
Pd  0.882  0.660  0.796

Output
As for the formation energy: -368.5 meV per atom. Its space group is Imma (74).

=====

Entry 6:
An optimized crystal structure of ThMg2GaPt2. Source: the Alexandria database, functional PBE-GGA.

a = 5.199 Å, b = 5.199 Å, c = 10.417 Å
α = 90.00°, β = 90.00°, γ = 90.00°
Sites, in units of the cell vectors:
Th  0.000  0.000  0.000
Th  0.500  0.500  0.500
Mg  0.000  0.500  0.250
Mg  0.000  0.500  0.750
Mg  0.500  0.000  0.250
Mg  0.500  0.000  0.750
Ga  0.000  0.000  0.500
Ga  0.500  0.500  0.000
Pt  0.000  0.000  0.264
Pt  0.000  0.000  0.736
Pt  0.500  0.500  0.236
Pt  0.500  0.500  0.764

Output
As for the formation energy: -484.8 meV per atom. Its space group is I4/mmm (139).

=====

Entry 7:
An optimized crystal structure of Ce2Mg2NiGe4. Source: the Alexandria database, functional PBE-GGA.

a = 6.276 Å, b = 6.276 Å, c = 6.276 Å
α = 117.61°, β = 117.61°, γ = 94.18°
Sites, in units of the cell vectors:
Ce  0.250  0.750  0.500
Ce  0.750  0.250  0.500
Mg  0.206  0.206  0.000
Mg  0.794  0.794  0.000
Ni  0.500  0.500  0.000
Ge  0.241  0.241  0.482
Ge  0.241  0.759  0.000
Ge  0.759  0.241  0.000
Ge  0.759  0.759  0.518

Output
As for the formation energy: -481.3 meV per atom. Its space group is I4/mmm (139).

=====

Entry 8:
An optimized crystal structure of KMg3AlSi3O10F2. Source: the Alexandria database, functional PBE-GGA.

a = 5.353 Å, b = 5.355 Å, c = 10.483 Å
α = 80.19°, β = 85.28°, γ = 60.04°
Sites, in units of the cell vectors:
K  0.000  0.000  0.000
Mg  0.335  0.817  0.535
Mg  0.658  0.158  0.536
Mg  0.999  0.495  0.535
Al  0.332  0.401  0.799
Si  0.333  0.244  0.264
Si  0.665  0.733  0.804
Si  0.667  0.579  0.264
O  0.000  0.435  0.206
O  0.332  0.458  0.629
O  0.333  0.189  0.421
O  0.440  0.619  0.859
O  0.495  0.931  0.205
O  0.504  0.427  0.207
O  0.571  0.035  0.858
O  0.664  0.787  0.641
O  0.668  0.530  0.421
O  0.986  0.488  0.858
F  0.989  0.864  0.433
F  0.998  0.129  0.622

Output
Its space group is P1 (1).

=====

Entry 9:
An optimized crystal structure of Cd2TcSe. Source: the Alexandria database, functional PBE-GGA.

a = 2.980 Å, b = 4.043 Å, c = 13.933 Å
α = 90.00°, β = 90.00°, γ = 90.00°
Sites, in units of the cell vectors:
Cd  0.000  0.000  0.185
Cd  0.000  0.000  0.815
Cd  0.500  0.500  0.315
Cd  0.500  0.500  0.685
Tc  0.000  0.500  0.500
Tc  0.500  0.000  0.000
Se  0.000  0.500  0.000
Se  0.500  0.000  0.500

Output
Its space group is Immm (71).

=====

Entry 10:
An optimized crystal structure of ZnBi5. Source: the Alexandria database, functional PBE-GGA.

a = 4.704 Å, b = 13.893 Å, c = 5.542 Å
α = 90.00°, β = 90.00°, γ = 90.00°
Sites, in units of the cell vectors:
Zn  0.000  0.000  0.000
Zn  0.500  0.500  0.000
Bi  0.000  0.166  0.500
Bi  0.000  0.359  0.000
Bi  0.000  0.500  0.500
Bi  0.000  0.641  0.000
Bi  0.000  0.834  0.500
Bi  0.500  0.000  0.500
Bi  0.500  0.141  0.000
Bi  0.500  0.334  0.500
Bi  0.500  0.666  0.500
Bi  0.500  0.859  0.000

Output
As for the formation energy: 183.3 meV per atom. Its space group is Cmmm (65).

=====

Entry 11:
An optimized crystal structure of CsPdC2. Source: the Alexandria database, functional PBE-GGA.

a = 6.412 Å, b = 6.412 Å, c = 6.412 Å
α = 90.00°, β = 90.00°, γ = 90.00°
Sites, in units of the cell vectors:
Cs  0.000  0.000  0.000
Cs  0.000  0.500  0.500
Cs  0.500  0.000  0.500
Cs  0.500  0.500  0.000
Pd  0.000  0.000  0.500
Pd  0.000  0.500  0.000
Pd  0.500  0.000  0.000
Pd  0.500  0.500  0.500
C  0.250  0.250  0.250
C  0.250  0.250  0.750
C  0.250  0.750  0.250
C  0.250  0.750  0.750
C  0.750  0.250  0.250
C  0.750  0.250  0.750
C  0.750  0.750  0.250
C  0.750  0.750  0.750

Output
As for the excess energy over the best structure of this formula in the dataset: 1373 meV per atom. As for the formation energy: 2882.0 meV per atom. Its space group is Fm-3m (225).

=====

Entry 12:
An optimized crystal structure of CdTcOs2. Source: the Alexandria database, functional PBE-GGA.

a = 2.785 Å, b = 3.884 Å, c = 5.834 Å
α = 90.00°, β = 90.00°, γ = 90.00°
Sites, in units of the cell vectors:
Cd  0.000  0.000  0.000
Tc  0.000  0.000  0.500
Os  0.500  0.500  0.279
Os  0.500  0.500  0.721

Output
As for the formation energy: 466.0 meV per atom. Its space group is Pmmm (47).

=====

no.,VASP energy (eV/atom)
1,-3.46
2,-5.08
3,-3.62
4,-5.48
5,-4.98
6,-4.77
7,-4.85
8,-6.90
9,-3.70
10,-3.26
11,-3.24
12,-7.97